(1)
A geometry-optimized HoTm3 structure, computed with PBE.

a = 3.568 Å, b = 5.523 Å, c = 6.178 Å
α = 90.00°, β = 90.00°, γ = 90.00°
Fractional positions:
Ho 0.000 0.000 0.000
Tm 0.000 0.500 0.666
Tm 0.500 0.000 0.499
Tm 0.500 0.500 0.166

- VASP energy (eV/atom) = -4.502


(2)
A geometry-optimized Ho3Tm13 structure, computed with PBE.

a = 7.134 Å, b = 8.279 Å, c = 8.279 Å
α = 83.71°, β = 90.00°, γ = 90.00°
Fractional positions:
Ho 0.000 0.000 0.000
Ho 0.250 0.251 0.251
Ho 0.750 0.251 0.251
Tm 0.000 0.083 0.584
Tm 0.000 0.501 0.501
Tm 0.000 0.584 0.083
Tm 0.250 0.334 0.833
Tm 0.250 0.750 0.750
Tm 0.250 0.833 0.334
Tm 0.500 0.000 0.000
Tm 0.500 0.083 0.585
Tm 0.500 0.501 0.501
Tm 0.500 0.585 0.083
Tm 0.750 0.334 0.833
Tm 0.750 0.750 0.750
Tm 0.750 0.833 0.334

- VASP energy (eV/atom) = -4.494


(3)
A geometry-optimized Ho4Tm3 structure, computed with PBE.

a = 12.632 Å, b = 12.632 Å, c = 12.632 Å
α = 164.09°, β = 157.40°, γ = 27.76°
Fractional positions:
Ho 0.071 0.071 0.000
Ho 0.214 0.214 0.000
Ho 0.786 0.786 0.000
Ho 0.929 0.929 0.000
Tm 0.357 0.357 0.000
Tm 0.500 0.500 0.000
Tm 0.643 0.643 0.000

- VASP energy (eV/atom) = -4.509


(4)
A geometry-optimized Ho3Tm structure, computed with PBE.

a = 3.589 Å, b = 5.553 Å, c = 6.215 Å
α = 90.00°, β = 90.00°, γ = 90.00°
Fractional positions:
Ho 0.000 0.000 0.000
Ho 0.000 0.500 0.334
Ho 0.500 0.500 0.834
Tm 0.500 0.000 0.501

- VASP energy (eV/atom) = -4.551


(5)
A geometry-optimized Ho2Tm5 structure, computed with PBE.

a = 10.940 Å, b = 10.940 Å, c = 6.582 Å
α = 90.93°, β = 90.93°, γ = 32.80°
Fractional positions:
Ho 0.012 0.845 0.892
Ho 0.155 0.988 0.608
Ho 0.845 0.012 0.392
Ho 0.988 0.155 0.108
Tm 0.132 0.298 0.823
Tm 0.273 0.440 0.535
Tm 0.298 0.132 0.323
Tm 0.416 0.584 0.250
Tm 0.440 0.273 0.035
Tm 0.560 0.727 0.965
Tm 0.584 0.416 0.750
Tm 0.702 0.868 0.677
Tm 0.727 0.560 0.465
Tm 0.868 0.702 0.177

- VASP energy (eV/atom) = -4.504


(6)
A geometry-optimized Ho5Tm2 structure, computed with PBE.

a = 8.653 Å, b = 8.653 Å, c = 8.653 Å
α = 37.66°, β = 37.66°, γ = 37.66°
Fractional positions:
Ho 0.000 0.000 0.000
Ho 0.285 0.285 0.285
Ho 0.429 0.429 0.429
Ho 0.571 0.571 0.571
Ho 0.715 0.715 0.715
Tm 0.143 0.143 0.143
Tm 0.857 0.857 0.857

- VASP energy (eV/atom) = -4.404


(7)
A geometry-optimized Ho8Tm3 structure, computed with PBE.

a = 31.466 Å, b = 31.466 Å, c = 31.466 Å
α = 6.39°, β = 6.39°, γ = 6.39°
Fractional positions:
Ho 0.046 0.046 0.046
Ho 0.136 0.136 0.136
Ho 0.318 0.318 0.318
Ho 0.409 0.409 0.409
Ho 0.591 0.591 0.591
Ho 0.682 0.682 0.682
Ho 0.864 0.864 0.864
Ho 0.954 0.954 0.954
Tm 0.227 0.227 0.227
Tm 0.500 0.500 0.500
Tm 0.773 0.773 0.773

- VASP energy (eV/atom) = -4.525


(8)
A geometry-optimized HoTm3 structure, computed with PBE.

a = 7.126 Å, b = 7.126 Å, c = 5.540 Å
α = 90.00°, β = 90.00°, γ = 120.00°
Fractional positions:
Ho 0.333 0.667 0.250
Ho 0.667 0.333 0.750
Tm 0.167 0.333 0.750
Tm 0.167 0.833 0.750
Tm 0.333 0.167 0.250
Tm 0.667 0.833 0.750
Tm 0.833 0.167 0.250
Tm 0.833 0.667 0.250

- VASP energy (eV/atom) = -4.497


Number 4 is which compound?
Ho3Tm